Density functional theory data (GGA-PBE) for a relaxed structure of Cu2ReNi.

CIF file:
```
data_Cu2ReNi
_symmetry_space_group_name_H-M 'R 3 m'
_symmetry_Int_Tables_number 160
_symmetry_space_group_name_Hall 'R 3 -2"'
_cell_length_a 2.6648
_cell_length_b 2.6648
_cell_length_c 24.9646
_cell_angle_alpha 90.00
_cell_angle_beta 90.00
_cell_angle_gamma 120.00
loop_
_atom_site_label
_atom_site_type_symbol
_atom_site_fract_x
_atom_site_fract_y
_atom_site_fract_z
Cu1 Cu 0.0000 0.0000 0.0000
Cu2 Cu 0.0000 0.0000 0.2521
Re1 Re 0.0000 0.0000 0.4967
Ni1 Ni 0.0000 0.0000 0.7476
```

- Total DFT energy (no corrections): -6.44 eV/atom
- Polymorph energy (0 for the lowest one): 0.088 eV per atom
- Spin magnetization: 2.50 Bohr magnetons per cell
- Formation enthalpy at 0 K: 0.166 eV per atom
- D(E_F): 4.08 states/eV/f.u.